{"formula": "PaZnO3", "functional": "PBE-GGA", "state": "relaxed", "formation_energy_uncorrected_kj_per_mol_atoms": -238.1, "n_ef_per_ev_cell": 5.18, "lattice_angstrom": [[3.3873, -0.0160, 0.0087], [-0.0145, 6.0668, 2.3077], [-0.0536, 0.0917, 6.4899]], "species": ["Pa", "Pa", "Zn", "Zn", "O", "O", "O", "O", "O", "O"], "frac_coords": [[0.9789, 0.3679, 0.8069], [0.5366, 0.8498, 0.2888], [0.2575, 0.3132, 0.3435], [0.2576, 0.9046, 0.7521], [0.4879, 0.2203, 0.6592], [0.0274, 0.9976, 0.4365], [0.5016, 0.6479, 0.7110], [0.5017, 0.2719, 0.0868], [0.0137, 0.9458, 0.0088], [0.0137, 0.5699, 0.3848]]}

{"formula": "CaAs3PdRh2", "functional": "PBE-GGA", "state": "relaxed", "formation_energy_ev_per_atom": -0.374, "n_ef_per_ev_cell": 8.00, "lattice_angstrom": [[-0.9553, 7.3943, 1.3737], [-1.0245, 2.6037, 7.0461], [5.3363, 4.0819, 3.5126]], "species": ["Ca", "Ca", "As", "As", "As", "As", "As", "As", "Pd", "Pd", "Rh", "Rh", "Rh", "Rh"], "frac_coords": [[0.7310, 0.7310, 0.7310], [0.2690, 0.2690, 0.2690], [0.1971, 0.7639, 0.7639], [0.7639, 0.1971, 0.7639], [0.7639, 0.7639, 0.1971], [0.8029, 0.2361, 0.2361], [0.2361, 0.8029, 0.2361], [0.2361, 0.2361, 0.8029], [0.4211, 0.4211, 0.4211], [0.5789, 0.5789, 0.5789], [0.0000, 0.0000, 0.0000], [0.5000, 0.0000, 0.0000], [0.0000, 0.5000, 0.0000], [0.0000, 0.0000, 0.5000]]}

{"formula": "Tl7Hg2Bi3", "functional": "PBE-GGA", "state": "relaxed", "formation_energy_ev_per_atom": 0.027, "n_ef_per_ev_cell": 6.05, "lattice_angstrom": [[-1.3184, -3.2431, 0.0025], [-0.1153, 0.0417, -6.7170], [15.1199, -6.1424, 5.8384]], "species": ["Tl", "Tl", "Tl", "Tl", "Tl", "Tl", "Tl", "Hg", "Hg", "Bi", "Bi", "Bi"], "frac_coords": [[0.5000, 0.7361, 0.4826], [0.5000, 0.2639, 0.5174], [0.0000, 0.8505, 0.1623], [0.0000, 0.0000, 0.0000], [0.0000, 0.1495, 0.8377], [0.5000, 0.6331, 0.8141], [0.5000, 0.3669, 0.1859], [0.5000, 0.8536, 0.3227], [0.5000, 0.1464, 0.6773], [0.5000, 0.5000, 0.0000], [0.0000, 0.3190, 0.3495], [0.0000, 0.6810, 0.6505]]}

{"formula": "Ti12Ga2Ir5", "functional": "PBE-GGA", "state": "relaxed", "formation_energy_ev_per_atom": -0.340, "n_ef_per_ev_cell": 21.21, "lattice_angstrom": [[-1.5796, 1.5069, 5.6270], [4.6878, -5.8784, -0.3468], [5.7700, 5.7762, 0.0729]], "species": ["Ti", "Ti", "Ti", "Ti", "Ti", "Ti", "Ti", "Ti", "Ti", "Ti", "Ti", "Ti", "Ga", "Ga", "Ir", "Ir", "Ir", "Ir", "Ir"], "frac_coords": [[0.9239, 0.8478, 0.1794], [0.0523, 0.6280, 0.8664], [0.5757, 0.6280, 0.8664], [0.1215, 0.7160, 0.4246], [0.5945, 0.7160, 0.4246], [0.4809, 0.9618, 0.6818], [0.5191, 0.0382, 0.3182], [0.8785, 0.2840, 0.5754], [0.4055, 0.2840, 0.5754], [0.9477, 0.3720, 0.1336], [0.4243, 0.3720, 0.1336], [0.0761, 0.1522, 0.8206], [0.7056, 0.0000, 0.0000], [0.2944, 0.0000, 0.0000], [0.2821, 0.5643, 0.6346], [0.3422, 0.6844, 0.1270], [0.0000, 0.0000, 0.5000], [0.6578, 0.3156, 0.8730], [0.7179, 0.4357, 0.3654]]}